[1]
Entry from Alexandria: crystalline Pm4Ru2Au at its relaxed geometry (GGA-PBE).

Cell lengths 7.7067, 7.7210, 7.7568 Å; angles 109.12, 110.14, 108.93 degrees
Atoms (fractional coordinates):
Pm (0.0000, 0.0000, 0.0000)
Pm (0.0235, 0.4850, 0.9667)
Pm (0.1594, 0.8702, 0.4877)
Pm (0.3998, 0.7559, 0.8665)
Pm (0.4855, 0.2810, 0.0478)
Pm (0.5294, 0.3470, 0.5883)
Pm (0.6409, 0.8125, 0.4547)
Pm (0.8746, 0.2501, 0.4083)
Ru (0.0787, 0.1644, 0.7277)
Ru (0.3759, 0.9619, 0.2281)
Ru (0.6357, 0.0916, 0.7964)
Ru (0.9354, 0.6517, 0.6577)
Au (0.2393, 0.4772, 0.3674)
Au (0.7507, 0.6861, 0.0867)

## Properties
DOS(E_F) ... 0.589 states/eV/atom
ΔH_f (0 K) ... -2.4 eV per formula unit
E ... -86.45 eV/cell

***

[2]
Entry from Alexandria: crystalline CeCuCl6 at its relaxed geometry (GGA-PBE).

Cell lengths 6.8125, 6.8125, 6.4882 Å; angles 97.58, 97.58, 111.43 degrees
Atoms (fractional coordinates):
Ce (0.0000, 0.0000, 0.0000)
Cu (0.0000, 0.0000, 0.5000)
Cl (0.0176, 0.7091, 0.2220)
Cl (0.2534, 0.2534, 0.3658)
Cl (0.2909, 0.9824, 0.7780)
Cl (0.7091, 0.0176, 0.2220)
Cl (0.7466, 0.7466, 0.6342)
Cl (0.9824, 0.2909, 0.7780)

## Properties
DOS(E_F) ... 0.415 states/eV/atom
Uncorrected formation energy ... -1.3296 eV per atom
E ... -31.75 eV/cell

***

[3]
Entry from Alexandria: crystalline CoAgCl2 at its relaxed geometry (GGA-PBE).

Cell lengths 4.7218, 4.7218, 4.7218 Å; angles 60.00, 60.00, 60.00 degrees
Atoms (fractional coordinates):
Co (0.0000, 0.0000, 0.0000)
Ag (0.2500, 0.2500, 0.2500)
Cl (0.5000, 0.5000, 0.5000)
Cl (0.7500, 0.7500, 0.7500)

## Properties
DOS(E_F) ... 0.547 states/eV/atom
Uncorrected formation energy ... 0.5274 eV per atom
E ... -11.54 eV/cell

***

[4]
Entry from Alexandria: crystalline LiReSi2 at its relaxed geometry (GGA-PBE).

Cell lengths 4.2064, 4.2064, 4.2064 Å; angles 60.00, 60.00, 60.00 degrees
Atoms (fractional coordinates):
Li (0.0000, 0.0000, 0.0000)
Re (0.5000, 0.5000, 0.5000)
Si (0.2500, 0.2500, 0.2500)
Si (0.7500, 0.7500, 0.7500)

## Properties
DOS(E_F) ... 0.535 states/eV/atom
Uncorrected formation energy ... -0.0535 eV per atom
E ... -25.42 eV/cell

***

[5]
Entry from Alexandria: crystalline NaMgScI6 at its relaxed geometry (GGA-PBE).

Cell lengths 7.4776, 7.4776, 14.3506 Å; angles 90.00, 90.00, 120.00 degrees
Atoms (fractional coordinates):
Na (0.0000, 0.0000, 0.0000)
Na (0.0000, 0.0000, 0.5000)
Mg (0.3333, 0.6667, 0.2500)
Mg (0.6667, 0.3333, 0.7500)
Sc (0.3333, 0.6667, 0.7500)
Sc (0.6667, 0.3333, 0.2500)
I (0.0035, 0.3613, 0.6338)
I (0.0035, 0.6422, 0.8662)
I (0.3578, 0.3613, 0.8662)
I (0.3578, 0.9965, 0.6338)
I (0.3613, 0.0035, 0.1338)
I (0.3613, 0.3578, 0.3662)
I (0.6387, 0.6422, 0.6338)
I (0.6387, 0.9965, 0.8662)
I (0.6422, 0.0035, 0.3662)
I (0.6422, 0.6387, 0.1338)
I (0.9965, 0.3578, 0.1338)
I (0.9965, 0.6387, 0.3662)

## Properties
DOS(E_F) ... 0.000 states/eV/atom
Uncorrected formation energy ... -1.1527 eV per atom
E ... -57.84 eV/cell

***

[6]
Entry from Alexandria: crystalline ReC2 at its relaxed geometry (GGA-PBE).

Cell lengths 3.6419, 3.6419, 3.6419 Å; angles 130.12, 130.12, 73.21 degrees
Atoms (fractional coordinates):
Re (0.0000, 0.0000, 0.0000)
C (0.3784, 0.3784, 0.0000)
C (0.6216, 0.6216, 0.0000)

## Properties
DOS(E_F) ... 0.416 states/eV/atom
ΔH_f (0 K) ... 4.3 eV per formula unit
E ... -26.55 eV/cell

***

[7]
Entry from Alexandria: crystalline VPt2W2 at its relaxed geometry (GGA-PBE).

Cell lengths 7.0835, 7.0835, 7.0835 Å; angles 150.31, 150.31, 42.49 degrees
Atoms (fractional coordinates):
V (0.0000, 0.0000, 0.0000)
Pt (0.4042, 0.4042, 0.0000)
Pt (0.5958, 0.5958, 0.0000)
W (0.2500, 0.7500, 0.5000)
W (0.7500, 0.2500, 0.5000)

## Properties
DOS(E_F) ... 1.051 states/eV/atom
ΔH_f (0 K) ... 1.5 eV per formula unit
E ... -45.57 eV/cell

***

[8]
Entry from Alexandria: crystalline ScInRh2 at its relaxed geometry (GGA-PBE).

Cell lengths 4.4225, 4.4225, 3.4114 Å; angles 90.00, 90.00, 90.00 degrees
Atoms (fractional coordinates):
Sc (0.0000, 0.0000, 0.0000)
In (0.5000, 0.5000, 0.0000)
Rh (0.0000, 0.5000, 0.5000)
Rh (0.5000, 0.0000, 0.5000)

## Properties
DOS(E_F) ... 0.102 states/eV/atom
ΔH_f (0 K) ... -3.3 eV per formula unit
E ... -27.10 eV/cell

***

[9]
Entry from Alexandria: crystalline K2BaSr at its relaxed geometry (GGA-PBE).

Cell lengths 4.3883, 6.7169, 9.0213 Å; angles 90.00, 100.46, 90.00 degrees
Atoms (fractional coordinates):
K (0.0000, 0.0000, 0.0000)
K (0.4195, 0.5000, 0.2467)
Ba (0.4718, 0.5000, 0.7317)
Sr (0.9157, 0.0000, 0.5101)

## Properties
DOS(E_F) ... 1.085 states/eV/atom
ΔH_f (0 K) ... 0.4 eV per formula unit
E ... -5.42 eV/cell

***

[10]
Entry from Alexandria: crystalline MgSc3In2 at its relaxed geometry (GGA-PBE).

Cell lengths 3.5595, 3.5595, 10.6751 Å; angles 90.00, 90.00, 90.00 degrees
Atoms (fractional coordinates):
Mg (0.0000, 0.0000, 0.0000)
Sc (0.5000, 0.5000, 0.1625)
Sc (0.5000, 0.5000, 0.5000)
Sc (0.5000, 0.5000, 0.8375)
In (0.0000, 0.0000, 0.3272)
In (0.0000, 0.0000, 0.6728)

## Properties
DOS(E_F) ... 0.876 states/eV/atom
ΔH_f (0 K) ... -1.9 eV per formula unit
E ... -27.99 eV/cell

***

[11]
Entry from Alexandria: crystalline ZrTe2P at its relaxed geometry (GGA-PBE).

Cell lengths 8.3655, 8.3655, 8.3655 Å; angles 25.35, 25.35, 25.35 degrees
Atoms (fractional coordinates):
Zr (0.0000, 0.0000, 0.0000)
Te (0.2480, 0.2480, 0.2480)
Te (0.7520, 0.7520, 0.7520)
P (0.5000, 0.5000, 0.5000)

## Properties
DOS(E_F) ... 0.908 states/eV/atom
Uncorrected formation energy ... -0.0569 eV per atom
E ... -20.47 eV/cell

***

[12]
Entry from Alexandria: crystalline TlCdNi2 at its relaxed geometry (GGA-PBE).

Cell lengths 3.3779, 4.0706, 5.1964 Å; angles 90.00, 108.02, 90.00 degrees
Atoms (fractional coordinates):
Tl (0.0000, 0.0000, 0.0000)
Cd (0.7201, 0.5000, 0.4099)
Ni (0.2900, 0.0000, 0.5519)
Ni (0.4240, 0.5000, 0.8438)

## Properties
DOS(E_F) ... 0.833 states/eV/atom
ΔH_f (0 K) ... 0.9 eV per formula unit
E ... -13.99 eV/cell

***

[13]
Entry from Alexandria: crystalline Be2FeTe at its relaxed geometry (GGA-PBE).

Cell lengths 8.0195, 8.0195, 8.0195 Å; angles 21.30, 21.30, 21.30 degrees
Atoms (fractional coordinates):
Be (0.2288, 0.2288, 0.2288)
Be (0.7712, 0.7712, 0.7712)
Fe (0.5000, 0.5000, 0.5000)
Te (0.0000, 0.0000, 0.0000)

## Properties
DOS(E_F) ... 0.824 states/eV/atom
Uncorrected formation energy ... 0.7157 eV per atom
E ... -16.19 eV/cell

***

[14]
Entry from Alexandria: crystalline La4SmY3Te8 at its relaxed geometry (GGA-PBE).

Cell lengths 8.9858, 8.9858, 8.9858 Å; angles 59.72, 59.72, 59.72 degrees
Atoms (fractional coordinates):
La (0.0000, 0.0000, 0.0000)
La (0.0000, 0.5000, 0.5000)
La (0.5000, 0.0000, 0.5000)
La (0.5000, 0.5000, 0.0000)
Sm (0.5000, 0.5000, 0.5000)
Y (0.0000, 0.0000, 0.5000)
Y (0.0000, 0.5000, 0.0000)
Y (0.5000, 0.0000, 0.0000)
Te (0.2421, 0.7470, 0.7470)
Te (0.2446, 0.2446, 0.2446)
Te (0.2530, 0.2530, 0.7579)
Te (0.2530, 0.7579, 0.2530)
Te (0.7470, 0.2421, 0.7470)
Te (0.7470, 0.7470, 0.2421)
Te (0.7554, 0.7554, 0.7554)
Te (0.7579, 0.2530, 0.2530)

## Properties
DOS(E_F) ... 0.784 states/eV/atom
Uncorrected formation energy ... -1.4640 eV per atom
E ... -92.38 eV/cell

***

[15]
Entry from Alexandria: crystalline TbSm2Cu4 at its relaxed geometry (GGA-PBE).

Cell lengths 5.5341, 5.5341, 5.4081 Å; angles 109.71, 109.71, 81.21 degrees
Atoms (fractional coordinates):
Tb (0.0000, 0.0000, 0.0000)
Sm (0.2948, 0.2948, 0.6815)
Sm (0.7052, 0.7052, 0.3185)
Cu (0.1972, 0.5511, 0.2324)
Cu (0.4489, 0.8028, 0.7676)
Cu (0.5511, 0.1972, 0.2324)
Cu (0.8028, 0.4489, 0.7676)

## Properties
DOS(E_F) ... 0.677 states/eV/atom
ΔH_f (0 K) ... -1.0 eV per formula unit
E ... -31.43 eV/cell

***

[16]
Entry from Alexandria: crystalline Cr3ReC at its relaxed geometry (GGA-PBE).

Cell lengths 4.6624, 4.6624, 4.6624 Å; angles 90.00, 90.00, 90.00 degrees
Atoms (fractional coordinates):
Cr (0.0000, 0.0000, 0.5000)
Cr (0.0000, 0.5000, 0.0000)
Cr (0.5000, 0.0000, 0.0000)
Re (0.0000, 0.0000, 0.0000)
C (0.5000, 0.5000, 0.5000)

## Properties
DOS(E_F) ... 0.676 states/eV/atom
ΔH_f (0 K) ... 12.6 eV per formula unit
E ... -37.94 eV/cell

***

[17]
Entry from Alexandria: crystalline NaLiThF6 at its relaxed geometry (GGA-PBE).

Cell lengths 5.1764, 5.1764, 10.2840 Å; angles 90.00, 90.00, 90.00 degrees
Atoms (fractional coordinates):
Na (0.0000, 0.0000, 0.0000)
Na (0.5000, 0.5000, 0.5000)
Li (0.0000, 0.0000, 0.3253)
Li (0.5000, 0.5000, 0.8253)
Th (0.0000, 0.0000, 0.6642)
Th (0.5000, 0.5000, 0.1642)
F (0.1883, 0.1883, 0.4918)
F (0.1924, 0.1924, 0.1753)
F (0.2096, 0.2096, 0.8230)
F (0.2904, 0.7096, 0.3230)
F (0.3076, 0.6924, 0.6753)
F (0.3117, 0.6883, 0.9918)
F (0.6883, 0.3117, 0.9918)
F (0.6924, 0.3076, 0.6753)
F (0.7096, 0.2904, 0.3230)
F (0.7904, 0.7904, 0.8230)
F (0.8076, 0.8076, 0.1753)
F (0.8117, 0.8117, 0.4918)

## Properties
DOS(E_F) ... 0.000 states/eV/atom
Uncorrected formation energy ... -3.5375 eV per atom
E ... -107.44 eV/cell

***

[18]
Entry from Alexandria: crystalline Rb2NaTlRh at its relaxed geometry (GGA-PBE).

Cell lengths 6.2635, 6.2635, 5.6556 Å; angles 90.00, 90.00, 90.00 degrees
Atoms (fractional coordinates):
Rb (0.0000, 0.5000, 0.0000)
Rb (0.5000, 0.0000, 0.0000)
Na (0.0000, 0.0000, 0.0000)
Tl (0.0000, 0.0000, 0.5000)
Rh (0.5000, 0.5000, 0.5000)

## Properties
DOS(E_F) ... 2.038 states/eV/atom
ΔH_f (0 K) ... 4.7 eV per formula unit
E ... -8.32 eV/cell

***

[19]
Entry from Alexandria: crystalline Co2IrRh6 at its relaxed geometry (GGA-PBE).

Cell lengths 6.8171, 6.8171, 6.8171 Å; angles 44.80, 44.80, 44.80 degrees
Atoms (fractional coordinates):
Co (0.0000, 0.0000, 0.0000)
Co (0.1264, 0.1264, 0.1264)
Ir (0.3860, 0.3860, 0.3860)
Rh (0.1516, 0.6675, 0.6675)
Rh (0.4516, 0.4516, 0.9385)
Rh (0.4516, 0.9385, 0.4516)
Rh (0.6675, 0.1516, 0.6675)
Rh (0.6675, 0.6675, 0.1516)
Rh (0.9385, 0.4516, 0.4516)

## Properties
DOS(E_F) ... 1.248 states/eV/atom
ΔH_f (0 K) ... 4.7 eV per formula unit
E ... -62.51 eV/cell

***

[20]
Entry from Alexandria: crystalline KSrSi3 at its relaxed geometry (GGA-PBE).

Cell lengths 5.3914, 5.3914, 5.3914 Å; angles 90.00, 90.00, 90.00 degrees
Atoms (fractional coordinates):
K (0.0000, 0.0000, 0.0000)
Sr (0.5000, 0.5000, 0.5000)
Si (0.0000, 0.0000, 0.5000)
Si (0.0000, 0.5000, 0.0000)
Si (0.5000, 0.0000, 0.0000)

## Properties
DOS(E_F) ... 0.890 states/eV/atom
Uncorrected formation energy ... 1.2916 eV per atom
E ... -12.59 eV/cell

***

[21]
Entry from Alexandria: crystalline NdGe2Sb2Pt7 at its relaxed geometry (GGA-PBE).

Cell lengths 3.9910, 3.9910, 15.8566 Å; angles 97.22, 97.22, 89.98 degrees
Atoms (fractional coordinates):
Nd (0.0000, 0.0000, 0.0000)
Ge (0.3792, 0.3792, 0.7565)
Ge (0.6208, 0.6208, 0.2435)
Sb (0.2121, 0.2121, 0.4252)
Sb (0.7879, 0.7879, 0.5748)
Pt (0.0729, 0.5732, 0.1470)
Pt (0.2990, 0.2990, 0.5982)
Pt (0.4268, 0.9271, 0.8530)
Pt (0.5000, 0.5000, 0.0000)
Pt (0.5732, 0.0729, 0.1470)
Pt (0.7010, 0.7010, 0.4018)
Pt (0.9271, 0.4268, 0.8530)

## Properties
DOS(E_F) ... 0.420 states/eV/atom
Uncorrected formation energy ... -0.5511 eV per atom
E ... -71.15 eV/cell

***

[22]
Entry from Alexandria: crystalline Ac2Nd2Er at its relaxed geometry (GGA-PBE).

Cell lengths 9.0857, 9.0857, 9.0857 Å; angles 148.47, 148.47, 45.19 degrees
Atoms (fractional coordinates):
Ac (0.2500, 0.7500, 0.5000)
Ac (0.7500, 0.2500, 0.5000)
Nd (0.0905, 0.0905, 0.0000)
Nd (0.9095, 0.9095, 0.0000)
Er (0.5000, 0.5000, 0.0000)

## Properties
DOS(E_F) ... 1.746 states/eV/atom
ΔH_f (0 K) ... 2.3 eV per formula unit
E ... -19.98 eV/cell

***

[23]
Entry from Alexandria: crystalline Rb2BaRuS at its relaxed geometry (GGA-PBE).

Cell lengths 5.5291, 5.5291, 5.6740 Å; angles 90.00, 90.00, 90.00 degrees
Atoms (fractional coordinates):
Rb (0.0000, 0.5000, 0.0000)
Rb (0.5000, 0.0000, 0.0000)
Ba (0.0000, 0.0000, 0.5000)
Ru (0.0000, 0.0000, 0.0000)
S (0.5000, 0.5000, 0.5000)

## Properties
DOS(E_F) ... 0.389 states/eV/atom
Uncorrected formation energy ... 0.3361 eV per atom
E ... -15.58 eV/cell

***

[24]
Entry from Alexandria: crystalline TiCoPCl2 at its relaxed geometry (GGA-PBE).

Cell lengths 4.6166, 4.6166, 5.0730 Å; angles 90.00, 90.00, 90.00 degrees
Atoms (fractional coordinates):
Ti (0.0000, 0.0000, 0.0000)
Co (0.5000, 0.5000, 0.5000)
P (0.0000, 0.0000, 0.5000)
Cl (0.0000, 0.5000, 0.0000)
Cl (0.5000, 0.0000, 0.0000)

## Properties
DOS(E_F) ... 1.946 states/eV/atom
Uncorrected formation energy ... 0.0846 eV per atom
E ... -23.68 eV/cell

***

[25]
Entry from Alexandria: crystalline Cr2Au at its relaxed geometry (GGA-PBE).

Cell lengths 4.8856, 4.8856, 6.7497 Å; angles 111.81, 111.81, 34.61 degrees
Atoms (fractional coordinates):
Cr (0.0019, 0.0019, 0.2079)
Cr (0.3490, 0.3490, 0.9677)
Cr (0.6510, 0.6510, 0.0323)
Cr (0.9981, 0.9981, 0.7921)
Au (0.3350, 0.3350, 0.3960)
Au (0.6650, 0.6650, 0.6040)

## Properties
DOS(E_F) ... 0.758 states/eV/atom
ΔH_f (0 K) ... 0.7 eV per formula unit
E ... -43.61 eV/cell